1.
KBa2LiP: relaxed, PBE.

Calculated values
Calculated density (g/cm3): 2.7
Electronic total energy (Ry per atom): -0.2049
Calculated volume (Å³/cell): 218.0
Formation energy from the elements (eV per atom): -0.334

Cell lengths 6.490, 6.490, 5.176 Å; angles 90.00, 90.00, 90.00 degrees
Space group P4/mmm (No. 123)
Unique sites:
K: 0.000 0.000 0.000 [1 per cell]
Ba: 0.000 0.500 0.500 [2 per cell]
Li: 0.500 0.500 0.000 [1 per cell]
P: 0.500 0.500 0.500 [1 per cell]

---

2.
KBaLi2P: relaxed, PBE.

Calculated values
Calculated density (g/cm3): 2.3
Electronic total energy (Ry per atom): -0.1861
Calculated volume (Å³/cell): 158.0
Formation energy from the elements (eV per atom): -0.080

Cell lengths 5.067, 5.067, 6.153 Å; angles 90.00, 90.00, 90.00 degrees
Space group P4/mmm (No. 123)
Unique sites:
K: 0.000 0.000 0.000 [1 per cell]
Ba: 0.500 0.500 0.000 [1 per cell]
Li: 0.000 0.500 0.500 [2 per cell]
P: 0.000 0.000 0.500 [1 per cell]

---

3.
KBaLi2Pd: relaxed, PBE.

Calculated values
Calculated density (g/cm3): 2.8
Electronic total energy (Ry per atom): -0.1788
Calculated volume (Å³/cell): 178.9
Formation energy from the elements (eV per atom): -0.024

Cell lengths 5.486, 5.486, 5.944 Å; angles 90.00, 90.00, 90.00 degrees
Space group P4/mmm (No. 123)
Unique sites:
K: 0.000 0.000 0.000 [1 per cell]
Ba: 0.500 0.500 0.000 [1 per cell]
Li: 0.000 0.500 0.500 [2 per cell]
Pd: 0.500 0.500 0.500 [1 per cell]

---

4.
KBa2LiPt: relaxed, PBE.

Calculated values
Calculated density (g/cm3): 3.5
Electronic total energy (Ry per atom): -0.2029
Calculated volume (Å³/cell): 243.0
Formation energy from the elements (eV per atom): -0.182

Cell lengths 6.183, 6.183, 6.356 Å; angles 90.00, 90.00, 90.00 degrees
Space group P4/mmm (No. 123)
Unique sites:
K: 0.000 0.000 0.000 [1 per cell]
Ba: 0.000 0.500 0.500 [2 per cell]
Li: 0.500 0.500 0.000 [1 per cell]
Pt: 0.000 0.000 0.500 [1 per cell]

---

- The highest calculated density belongs to which entry?
  KBa2LiPt

---

- What is the formula in the second record?
  KBaLi2P

---

- Which of these has the lowest formation energy from the elements?
  KBa2LiP